Density functional theory data (meta-GGA SCAN) for a PBEsol-optimized structure of Mn5Sb.

Cell lengths 4.465, 4.465, 5.282 Å; angles 107.00, 107.00, 47.72 degrees
Fractional positions:
Mn1 0.000 0.000 0.000
Mn2 0.322 0.322 0.140
Mn3 0.336 0.336 0.690
Mn4 0.664 0.664 0.310
Mn5 0.678 0.678 0.860
Sb1 0.000 0.000 0.500

Calculated values
As for the total energy: -21.48 eV/atom. Its energy above the most stable polymorph in this dataset is 0 meV/atom. For the size of the total moment, the calculation gives 2.56 μB per cell. The calculation puts the raw formation energy at -0.06 eV/atom. Its space group is No. 12.